Record 1
Sb2SeCl: optimized geometry, GGA-PBE.

abc: 5.216 5.216 3.564
angles: 90.00 90.00 98.48
Fractional positions:
Sb (0.000, 0.500, 0.000)
Sb (0.500, 0.000, 0.000)
Se (0.000, 0.000, 0.500)
Cl (0.500, 0.500, 0.500)

- V (Å³/cell) = 96
- formation energy without anion corrections (eV/atom) = 0.138
- symmetry = No. 65



Record 2
Sb2SeCl: optimized geometry, GGA-PBE.

abc: 3.571 4.622 7.727
angles: 90.00 90.00 90.00
Fractional positions:
Sb (0.000, 0.000, 0.000)
Sb (0.500, 0.500, 0.327)
Se (0.000, 0.000, 0.338)
Cl (0.500, 0.500, 0.645)

- V (Å³/cell) = 128
- formation energy without anion corrections (eV/atom) = -0.089
- symmetry = No. 25



Record 3
Sb2Se2Cl: optimized geometry, GGA-PBE.

abc: 8.343 8.343 3.914
angles: 90.00 90.00 90.00
Fractional positions:
Sb (0.203, 0.297, 0.000)
Sb (0.297, 0.797, 0.000)
Sb (0.703, 0.203, 0.000)
Sb (0.797, 0.703, 0.000)
Se (0.145, 0.645, 0.500)
Se (0.355, 0.145, 0.500)
Se (0.645, 0.855, 0.500)
Se (0.855, 0.355, 0.500)
Cl (0.000, 0.000, 0.000)
Cl (0.500, 0.500, 0.000)

- V (Å³/cell) = 272
- formation energy without anion corrections (eV/atom) = -0.210
- symmetry = No. 127



Record 4
Sb2SeCl: optimized geometry, GGA-PBE.

abc: 7.464 7.464 4.630
angles: 100.59 100.59 30.20
Fractional positions:
Sb (0.000, 0.000, 0.000)
Sb (0.657, 0.657, 0.275)
Se (0.151, 0.151, 0.758)
Cl (0.411, 0.411, 0.593)

- V (Å³/cell) = 127
- formation energy without anion corrections (eV/atom) = -0.213
- symmetry = No. 8



Record 5
Sb2SeCl: optimized geometry, GGA-PBE.

abc: 5.835 5.835 5.835
angles: 144.34 115.85 75.61
Fractional positions:
Sb (0.237, 0.237, 0.000)
Sb (0.763, 0.763, 0.000)
Se (0.000, 0.500, 0.500)
Cl (0.500, 0.000, 0.500)

- V (Å³/cell) = 102
- formation energy without anion corrections (eV/atom) = -0.026
- symmetry = No. 71



Record 6
Sb2Se2Cl: optimized geometry, GGA-PBE.

abc: 5.822 7.279 9.105
angles: 102.94 97.56 92.76
Fractional positions:
Sb (0.082, 0.192, 0.095)
Sb (0.198, 0.322, 0.559)
Sb (0.802, 0.678, 0.441)
Sb (0.918, 0.808, 0.905)
Se (0.112, 0.029, 0.321)
Se (0.236, 0.580, 0.404)
Se (0.764, 0.420, 0.596)
Se (0.888, 0.971, 0.679)
Cl (0.315, 0.711, 0.910)
Cl (0.685, 0.289, 0.090)

- V (Å³/cell) = 372
- formation energy without anion corrections (eV/atom) = -0.351
- symmetry = No. 2



Q: Number 5 is which compound?
A: Sb2SeCl



Q: Look up the V of the fourth one.
A: 127 Å³/cell